Computed, not measured: a geometry-optimized Sr2Cd6InIr structure at the PBE level of DFT.

Calculated values
Space group ... No. 59
Total energy ... -2.21 eV per atom
Energy of formation ... -161 meV per atom

Cell and atoms, written as POSCAR:
```
Sr2Cd6InIr
1.0
7.972 0.000 0.000
0.000 7.247 0.000
0.000 0.000 9.825
Sr In Cd Ir
4 2 12 2
Direct
0.500 0.737 0.711 Sr
0.000 0.263 0.789 Sr
0.500 0.737 0.289 Sr
0.000 0.263 0.211 Sr
0.500 0.428 0.000 In
0.000 0.572 0.500 In
0.800 0.631 0.000 Cd
0.700 0.369 0.500 Cd
0.500 0.215 0.750 Cd
0.321 0.039 0.000 Cd
0.000 0.785 0.750 Cd
0.679 0.039 0.000 Cd
0.179 0.961 0.500 Cd
0.500 0.215 0.250 Cd
0.200 0.631 0.000 Cd
0.300 0.369 0.500 Cd
0.821 0.961 0.500 Cd
0.000 0.785 0.250 Cd
0.000 0.942 0.000 Ir
0.500 0.058 0.500 Ir
```